# 1
This record from Alexandria describes a relaxed structure of PrNd2Zn3. The functional is PBE.

energy of formation: -29.0 kJ per mole of atoms
theoretical density: 6854 kg/m3
ΔE to the lowest computed polymorph: 0.7 kJ/mol of atoms

Cell: 3.6947 3.6947 11.1033 Å, 90.00 90.00 90.00°
Last column: nearest neighbours and their distance in Å.
Fractional positions:
Pr 0.0000 0.0000 0.0000  8 Zn 3.22
Nd 0.0000 0.0000 0.3343  8 Zn 3.19-3.20
Nd 0.0000 0.0000 0.6657  8 Zn 3.19-3.20
Zn 0.5000 0.5000 0.1693  4 Nd 3.19, 4 Pr 3.22
Zn 0.5000 0.5000 0.5000  8 Nd 3.20
Zn 0.5000 0.5000 0.8307  4 Nd 3.19, 4 Pr 3.22

=====

# 2
This record from Alexandria describes a relaxed structure of PrSb4. The functional is PBE.

theoretical density: 4976 kg/m3

Cell: 5.9398 5.9398 5.9398 Å, 90.00 90.00 90.00°
Last column: nearest neighbours and their distance in Å.
Fractional positions:
Pr 0.0000 0.0000 0.0000  6 Sb 2.97
Sb 0.0000 0.0000 0.5000  2 Pr 2.97
Sb 0.0000 0.5000 0.0000  2 Pr 2.97
Sb 0.5000 0.0000 0.0000  2 Pr 2.97
Sb 0.5000 0.5000 0.5000  12 Sb 4.20

=====

# 3
This record from Alexandria describes a relaxed structure of ZrAg2Au. The functional is PBE.

energy of formation: -9.8 kJ per mole of atoms
theoretical density: 10974 kg/m3
ΔE to the lowest computed polymorph: 8.4 kJ/mol of atoms

Cell: 2.8742 5.0113 5.3039 Å, 90.00 93.52 90.00°
Last column: nearest neighbours and their distance in Å.
Fractional positions:
Zr 0.0000 0.0000 0.0000  2 Zr 2.87, 4 Au 2.94-3.09, 4 Ag 3.02
Ag 0.3346 0.5000 0.7484  4 Ag 2.78-2.87, 2 Au 2.88, 2 Zr 3.02
Ag 0.6654 0.5000 0.2516  4 Ag 2.78-2.87, 2 Au 2.88, 2 Zr 3.02
Au 0.5000 0.0000 0.5000  2 Au 2.87, 4 Ag 2.88, 4 Zr 2.94-3.09

=====

Calculated values (states/eV/atom) of density of states at the Fermi level for the records, taken in order: 1.31 1.33 0.67.
Calculated values (eV/atom) of E for the records, taken in order: -3.324 -3.552 -4.484.